1.
Below is a relaxed RbMn2AgIr crystal, with properties calculated at the PBE-GGA level.

The space group is P4/mmm (No. 123) and the conventional cell measures 5.031, 5.031 and 5.653 Å, with angles of 90.00, 90.00 and 90.00 degrees. Symmetry generates all atoms from Rb at (0.000, 0.000, 0.000), Mn at (0.000, 0.500, 0.500), Ag at (0.000, 0.000, 0.500) and Ir at (0.500, 0.500, 0.000).

The calculation puts the density of states at the Fermi level at 5.0 states/eV per cell. The value obtained for the calculated volume is 28.61 Å³/atom. As for the formation enthalpy at 0 K: 1.7240 eV/atom.

=====

2.
Below is a relaxed Ac2MgAs4Pd3 crystal, with properties calculated at the PBE-GGA level.

The space group is P-4m2 (No. 115) and the conventional cell measures 4.512, 4.512 and 10.570 Å, with angles of 90.00, 90.00 and 90.00 degrees. Symmetry generates all atoms from Ac at (0.000, 0.500, 0.236), Mg at (0.000, 0.000, 0.500), As at (0.000, 0.000, 0.000), As at (0.000, 0.500, 0.642), As at (0.500, 0.500, 0.000), Pd at (0.000, 0.500, 0.885) and Pd at (0.500, 0.500, 0.500).

The calculation puts the density of states at the Fermi level at 5.3 states/eV per cell. The value obtained for the calculated volume is 21.52 Å³/atom. As for the formation enthalpy at 0 K: -0.9149 eV/atom.

=====

3.
Below is a relaxed InPCO2 crystal, with properties calculated at the PBE-GGA level.

The space group is P4/mmm (No. 123) and the conventional cell measures 3.765, 3.765 and 3.969 Å, with angles of 90.00, 90.00 and 90.00 degrees. Symmetry generates all atoms from In at (0.000, 0.000, 0.000), P at (0.500, 0.500, 0.000), C at (0.500, 0.500, 0.500) and O at (0.000, 0.500, 0.500).

The calculation puts the density of states at the Fermi level at 2.4 states/eV per cell. As for the uncorrected formation energy: 3.9 eV per formula unit. The value obtained for the calculated volume is 11.25 Å³/atom.

=====

4.
Below is a relaxed LiNdDy2Hg4 crystal, with properties calculated at the PBE-GGA level.

The space group is R-3m (No. 166, hexagonal axes) and the conventional cell measures 5.1347, 5.1347 and 26.3989 Å, with angles of 90.00, 90.00 and 120.00 degrees. Symmetry generates all atoms from Li at (0.0000, 0.0000, 0.0000), Nd at (0.0000, 0.0000, 0.5000), Dy at (0.0000, 0.0000, 0.2570), Hg at (0.0000, 0.0000, 0.1165) and Hg at (0.0000, 0.0000, 0.3728).

The calculation puts the density of states at the Fermi level at 20.4 states/eV per cell. The value obtained for the calculated volume is 25.11 Å³/atom. As for the formation enthalpy at 0 K: -0.4428 eV/atom.

=====

5.
Below is a relaxed YAl crystal, with properties calculated at the PBE-GGA level.

The space group is Pm-3m (No. 221) and the conventional cell measures 3.604, 3.604 and 3.604 Å, with angles of 90.00, 90.00 and 90.00 degrees. Symmetry generates all atoms from Y at (0.000, 0.000, 0.000) and Al at (0.500, 0.500, 0.500).

The calculation puts the density of states at the Fermi level at 0.8 states/eV per cell. The value obtained for the calculated volume is 23.40 Å³/atom. As for the formation enthalpy at 0 K: -0.4180 eV/atom.

=====

6.
Below is a relaxed Fe2ReIr crystal, with properties calculated at the PBE-GGA level.

The space group is Pmmm (No. 47) and the conventional cell measures 2.636, 3.626 and 5.286 Å, with angles of 90.00, 90.00 and 90.00 degrees. Symmetry generates all atoms from Fe at (0.000, 0.000, 0.249), Re at (0.500, 0.500, 0.500) and Ir at (0.500, 0.500, 0.000).

The calculation puts the density of states at the Fermi level at 5.6 states/eV per cell. The value obtained for the calculated volume is 12.63 Å³/atom. As for the formation enthalpy at 0 K: 0.0470 eV/atom.

=====

7.
Below is a relaxed Sm8Bi5Pb crystal, with properties calculated at the PBE-GGA level.

The space group is I-4 (No. 82) and the conventional cell measures 9.580, 9.580 and 9.588 Å, with angles of 90.00, 90.00 and 90.00 degrees. Symmetry generates all atoms from Sm at (0.071, 0.177, 0.198), Sm at (0.072, 0.321, 0.553), Bi at (0.000, 0.500, 0.250), Bi at (0.125, 0.250, 0.876) and Pb at (0.000, 0.000, 0.500).

The calculation puts the density of states at the Fermi level at 32.8 states/eV per cell. The value obtained for the calculated volume is 31.43 Å³/atom. As for the formation enthalpy at 0 K: -0.7663 eV/atom.

=====

8.
Below is a relaxed YTmLuMg crystal, with properties calculated at the PBE-GGA level.

The space group is F-43m (No. 216) and the conventional cell measures 7.708, 7.708 and 7.708 Å, with angles of 90.00, 90.00 and 90.00 degrees. Symmetry generates all atoms from Y at (0.000, 0.000, 0.000), Tm at (0.250, 0.250, 0.750), Lu at (0.000, 0.000, 0.500) and Mg at (0.250, 0.250, 0.250).

The calculation puts the density of states at the Fermi level at 18.7 states/eV per cell. The value obtained for the calculated volume is 28.63 Å³/atom. As for the formation enthalpy at 0 K: 0.0546 eV/atom.

=====

9.
Below is a relaxed Ir2PbCl crystal, with properties calculated at the PBE-GGA level.

The space group is Pmmm (No. 47) and the conventional cell measures 2.962, 4.768 and 5.125 Å, with angles of 90.00, 90.00 and 90.00 degrees. Symmetry generates all atoms from Ir at (0.000, 0.000, 0.000), Ir at (0.500, 0.000, 0.500), Pb at (0.000, 0.500, 0.500) and Cl at (0.500, 0.500, 0.000).

The calculation puts the density of states at the Fermi level at 2.6 states/eV per cell. As for the uncorrected formation energy: 2.9 eV per formula unit. The value obtained for the calculated volume is 18.09 Å³/atom.

=====

10.
Below is a relaxed YAlAu2 crystal, with properties calculated at the PBE-GGA level.

The space group is Pmm2 (No. 25) and the conventional cell measures 3.470, 4.748 and 5.240 Å, with angles of 90.00, 90.00 and 90.00 degrees. Symmetry generates all atoms from Y at (0.000, 0.000, 0.000), Al at (0.500, 0.500, 0.694), Au at (0.500, 0.000, 0.505) and Au at (0.500, 0.500, 0.188).

The calculation puts the density of states at the Fermi level at 2.4 states/eV per cell. The value obtained for the calculated volume is 21.58 Å³/atom. As for the formation enthalpy at 0 K: -0.6245 eV/atom.

=====

11.
Below is a relaxed BPtRh2 crystal, with properties calculated at the PBE-GGA level.

The space group is R-3m (No. 166, hexagonal axes) and the conventional cell measures 2.8037, 2.8037 and 22.6160 Å, with angles of 90.00, 90.00 and 120.00 degrees. Symmetry generates all atoms from B at (0.0000, 0.0000, 0.0000), Pt at (0.0000, 0.0000, 0.5000) and Rh at (0.0000, 0.0000, 0.2717).

The calculation puts the density of states at the Fermi level at 14.5 states/eV per cell. The value obtained for the calculated volume is 12.83 Å³/atom. As for the formation enthalpy at 0 K: -0.1612 eV/atom.

=====

12.
Below is a relaxed TlCuSn2Bi crystal, with properties calculated at the PBE-GGA level.

The space group is P4/mmm (No. 123) and the conventional cell measures 5.183, 5.183 and 5.239 Å, with angles of 90.00, 90.00 and 90.00 degrees. Symmetry generates all atoms from Tl at (0.000, 0.000, 0.000), Cu at (0.000, 0.000, 0.500), Sn at (0.000, 0.500, 0.500) and Bi at (0.500, 0.500, 0.000).

The calculation puts the density of states at the Fermi level at 2.6 states/eV per cell. The value obtained for the calculated volume is 28.15 Å³/atom. As for the formation enthalpy at 0 K: 0.1864 eV/atom.

=====

13.
Below is a relaxed AlCuPd5 crystal, with properties calculated at the PBE-GGA level.

The space group is C2/c (No. 15) and the conventional cell measures 8.831, 8.739 and 6.558 Å, with angles of 90.00, 119.02 and 90.00 degrees. Symmetry generates all atoms from Al at (0.000, 0.201, 0.250), Cu at (0.250, 0.250, 0.000), Pd at (0.000, 0.072, 0.750), Pd at (0.048, 0.357, 0.583) and Pd at (0.243, 0.409, 0.368).

The calculation puts the density of states at the Fermi level at 14.7 states/eV per cell. The value obtained for the calculated volume is 15.81 Å³/atom. As for the formation enthalpy at 0 K: -0.2081 eV/atom.

=====

14.
Below is a relaxed CrCd2As crystal, with properties calculated at the PBE-GGA level.

The space group is C2/m (No. 12) and the conventional cell measures 10.322, 3.338 and 4.702 Å, with angles of 90.00, 100.49 and 90.00 degrees. Symmetry generates all atoms from Cr at (0.000, 0.000, 0.000), Cd at (0.248, 0.500, 0.247) and As at (0.000, 0.500, 0.500).

The calculation puts the density of states at the Fermi level at 3.4 states/eV per cell. The value obtained for the calculated volume is 19.92 Å³/atom. As for the formation enthalpy at 0 K: 0.2669 eV/atom.

=====

15.
Below is a relaxed K3Bi2Pb crystal, with properties calculated at the PBE-GGA level.

The space group is C2/m (No. 12) and the conventional cell measures 19.079, 5.787 and 9.978 Å, with angles of 90.00, 101.09 and 90.00 degrees. Symmetry generates all atoms from K at (0.060, 0.000, 0.188), K at (0.182, 0.500, 0.059), K at (0.188, 0.000, 0.552), Bi at (0.104, 0.500, 0.393), Bi at (0.121, 0.000, 0.846) and Pb at (0.066, 0.500, 0.688).

The calculation puts the density of states at the Fermi level at 11.0 states/eV per cell. The value obtained for the calculated volume is 45.05 Å³/atom. As for the formation enthalpy at 0 K: -0.2504 eV/atom.

=====

16.
Below is a relaxed Ce2Zn2Ga5 crystal, with properties calculated at the PBE-GGA level.

The space group is P4/mmm (No. 123) and the conventional cell measures 4.269, 4.269 and 9.818 Å, with angles of 90.00, 90.00 and 90.00 degrees. Symmetry generates all atoms from Ce at (0.000, 0.000, 0.000), Ce at (0.000, 0.000, 0.500), Zn at (0.500, 0.500, 0.121), Ga at (0.000, 0.500, 0.269) and Ga at (0.500, 0.500, 0.500).

The calculation puts the density of states at the Fermi level at 9.7 states/eV per cell. The value obtained for the calculated volume is 19.88 Å³/atom. As for the formation enthalpy at 0 K: -0.4064 eV/atom.

=====

17.
Below is a relaxed AcTh2Cd crystal, with properties calculated at the PBE-GGA level.

The space group is R-3m (No. 166, hexagonal axes) and the conventional cell measures 3.5112, 3.5112 and 37.6874 Å, with angles of 90.00, 90.00 and 120.00 degrees. Symmetry generates all atoms from Ac at (0.0000, 0.0000, 0.0000), Th at (0.0000, 0.0000, 0.0945) and Cd at (0.0000, 0.0000, 0.5000).

The calculation puts the density of states at the Fermi level at 18.2 states/eV per cell. The value obtained for the calculated volume is 33.53 Å³/atom. As for the formation enthalpy at 0 K: 0.2651 eV/atom.

=====

18.
Below is a relaxed BRhS2 crystal, with properties calculated at the PBE-GGA level.

The space group is R-3m (No. 166, hexagonal axes) and the conventional cell measures 3.6922, 3.6922 and 17.4592 Å, with angles of 90.00, 90.00 and 120.00 degrees. Symmetry generates all atoms from B at (0.0000, 0.0000, 0.0000), Rh at (0.0000, 0.0000, 0.5000) and S at (0.0000, 0.0000, 0.0972).

The calculation puts the density of states at the Fermi level at 7.9 states/eV per cell. As for the uncorrected formation energy: 0.3 eV per formula unit. The value obtained for the calculated volume is 17.18 Å³/atom.

=====

19.
Below is a relaxed Sr2Ti2Sb crystal, with properties calculated at the PBE-GGA level.

The space group is I4/mmm (No. 139) and the conventional cell measures 4.597, 4.597 and 14.019 Å, with angles of 90.00, 90.00 and 90.00 degrees. Symmetry generates all atoms from Sr at (0.000, 0.500, 0.250), Ti at (0.000, 0.000, 0.070) and Sb at (0.000, 0.000, 0.500).

The calculation puts the density of states at the Fermi level at 10.1 states/eV per cell. As for the uncorrected formation energy: 3.1 eV per formula unit. The value obtained for the calculated volume is 29.63 Å³/atom.

=====

20.
Below is a relaxed Pm2Pd15Au2 crystal, with properties calculated at the PBE-GGA level.

The space group is R-3m (No. 166, hexagonal axes) and the conventional cell measures 9.2107, 9.2107 and 13.6592 Å, with angles of 90.00, 90.00 and 120.00 degrees. Symmetry generates all atoms from Pm at (0.0000, 0.0000, 0.1608), Pd at (0.0000, 0.3081, 0.5000), Pd at (0.0000, 0.5000, 0.0000), Pd at (0.0059, 0.5030, 0.6549) and Au at (0.0000, 0.0000, 0.3979).

The calculation puts the density of states at the Fermi level at 66.3 states/eV per cell. The value obtained for the calculated volume is 17.61 Å³/atom. As for the formation enthalpy at 0 K: -0.3288 eV/atom.

=====

How do the records compare in energy? In the order shown, they have -4.48 -5.31 -4.68 -2.58 -5.52 -9.51 -5.11 -4.21 -5.10 -4.81 -7.02 -3.48 -5.04 -3.76 -2.71 -3.69 -4.70 -5.50 -4.03 -5.27 eV per atom.